This record from the Open Quantum Materials Database describes a relaxed Zr4CuBiC2 crystal. The functional is GGA-PBE.

abc: 3.3942 3.3942 14.0479
angles: 90.00 90.00 120.00
Closest atoms and distances in Å follow each position.
Element x y z (fractional)
Zr: 0.0000 0.0000 0.1446  3 C 2.34
Zr: 0.0000 0.0000 0.8554  3 C 2.34
Zr: 0.6667 0.3333 0.3240  3 C 2.32
Zr: 0.6667 0.3333 0.6760  3 C 2.32
Cu: 0.6667 0.3333 0.0000  6 Zr 2.82
Bi: 0.0000 0.0000 0.5000  6 Zr 3.16, 6 Bi 3.39
C: 0.3333 0.6667 0.2355  6 Zr 2.32-2.34
C: 0.3333 0.6667 0.7645  6 Zr 2.32-2.34

M_tot	0.022	μB per atom



This record from the Open Quantum Materials Database describes a relaxed Li2ZnAu crystal. The functional is GGA-PBE.

abc: 4.3556 4.3556 4.3556
angles: 120.70 120.70 88.80
Closest atoms and distances in Å follow each position.
Element x y z (fractional)
Li: 0.2500 0.7500 0.5000  4 Zn 2.66, 4 Au 2.66
Li: 0.7500 0.2500 0.5000  4 Zn 2.66, 4 Au 2.66
Zn: 0.0000 0.0000 0.0000  8 Li 2.66
Au: 0.5000 0.5000 0.0000  8 Li 2.66



This record from the Open Quantum Materials Database describes a relaxed ZnCdCoNi crystal. The functional is GGA-PBE.

abc: 4.2472 4.2472 4.2472
angles: 60.00 60.00 60.00
Closest atoms and distances in Å follow each position.
Element x y z (fractional)
Zn: 0.0000 0.0000 0.0000  4 Ni 2.60, 4 Co 2.60
Cd: 0.5000 0.5000 0.5000  4 Ni 2.60, 4 Co 2.60
Co: 0.2500 0.2500 0.2500  4 Cd 2.60, 4 Zn 2.60
Ni: 0.7500 0.7500 0.7500  4 Cd 2.60, 4 Zn 2.60

energy relative to the elements	0.11	eV per atom
M_tot	0.008	μB per atom



This record from the Open Quantum Materials Database describes a relaxed BaGd crystal. The functional is GGA-PBE.

abc: 3.8711 3.8711 12.8162
angles: 90.00 90.00 120.00
Closest atoms and distances in Å follow each position.
Element x y z (fractional)
Ba: 0.0000 0.0000 0.0000  6 Ba 3.87, 6 Gd 3.91
Ba: 0.0000 0.0000 0.5000  6 Ba 3.87, 6 Gd 3.91
Gd: 0.3333 0.6667 0.2500  6 Gd 3.87, 6 Ba 3.91
Gd: 0.6667 0.3333 0.7500  6 Gd 3.87, 6 Ba 3.91

M_tot	0.013	μB per atom



This record from the Open Quantum Materials Database describes a relaxed Hf4SbAs2C crystal. The functional is GGA-PBE.

abc: 3.6107 3.6107 13.4946
angles: 90.00 90.00 120.00
Closest atoms and distances in Å follow each position.
Element x y z (fractional)
Hf: 0.0000 0.0000 0.1045  3 C 2.52, 3 As 2.68
Hf: 0.0000 0.0000 0.8955  3 C 2.52, 3 As 2.68
Hf: 0.3333 0.6667 0.3494  3 As 2.64, 3 Sb 2.91
Hf: 0.3333 0.6667 0.6506  3 As 2.64, 3 Sb 2.91
Sb: 0.0000 0.0000 0.5000  6 Hf 2.91
As: 0.6667 0.3333 0.2290  6 Hf 2.64-2.68
As: 0.6667 0.3333 0.7710  6 Hf 2.64-2.68
C: 0.3333 0.6667 0.0000  6 Hf 2.52

M_tot	0.001	μB per atom



This record from the Open Quantum Materials Database describes a relaxed CsZnFeTe3 crystal. The functional is GGA-PBE.

abc: 8.8983 8.8983 10.8841
angles: 90.00 90.00 153.26
Closest atoms and distances in Å follow each position.
Element x y z (fractional)
Cs: 0.2444 0.7556 0.7500  8 Te 3.91-4.02, 2 Cs 4.12, 2 Zn 4.12
Cs: 0.7556 0.2444 0.2500  8 Te 3.91-4.02, 2 Cs 4.12, 2 Zn 4.12
Zn: 0.4615 0.5385 0.2500  4 Te 2.63-2.67
Zn: 0.5385 0.4615 0.7500  4 Te 2.63-2.67
Fe: 0.0000 0.0000 0.0000  6 Te 2.80-2.91
Fe: 0.0000 0.0000 0.5000  6 Te 2.80-2.91
Te: 0.0596 0.9404 0.2500  2 Zn 2.67, 2 Fe 2.91
Te: 0.3924 0.6076 0.0350  1 Zn 2.63, 2 Fe 2.80
Te: 0.3924 0.6076 0.4650  1 Zn 2.63, 2 Fe 2.80
Te: 0.6076 0.3924 0.5350  1 Zn 2.63, 2 Fe 2.80
Te: 0.6076 0.3924 0.9650  1 Zn 2.63, 2 Fe 2.80
Te: 0.9404 0.0596 0.7500  2 Zn 2.67, 2 Fe 2.91

M_tot	0.606	μB per atom



no.,total DFT energy (no corrections) (eV per atom)
1,-8.058
2,-2.480
3,-3.597
4,-3.014
5,-8.381
6,-3.633